1.
Material: MnCrHIr2
Method: DFT, PBE
State: relaxed

The calculation puts the energy above the most stable polymorph in this dataset at 0.010 eV per atom. The density is 14335 kg/m³. The calculation puts the total magnetic moment at 0.06 μB/atom. As for the total energy: -8.113 eV per atom. As for the density of states at the Fermi level: 2.612 states/eV/f.u.

The structure belongs to space group P4/mmm (No. 123); the cell edges are 3.880, 3.880 and 3.788 Å and the angles 90.00°, 90.00° and 90.00°. The asymmetric unit holds Mn at (0.000, 0.000, 0.000), Cr at (0.500, 0.500, 0.000), H at (0.000, 0.000, 0.500) and Ir at (0.000, 0.500, 0.500).

2.
Material: MnCrHIr2
Method: DFT, PBE
State: relaxed

The calculation puts the energy above the most stable polymorph in this dataset at 0.000 eV per atom. The density is 14309 kg/m³. The calculation puts the total magnetic moment at 0.07 μB/atom. As for the total energy: -8.123 eV per atom. As for the density of states at the Fermi level: 2.170 states/eV/f.u.

The structure belongs to space group P4/mmm (No. 123); the cell edges are 3.879, 3.879 and 3.797 Å and the angles 90.00°, 90.00° and 90.00°. The asymmetric unit holds Mn at (0.000, 0.000, 0.000), Cr at (0.500, 0.500, 0.000), H at (0.500, 0.500, 0.500) and Ir at (0.000, 0.500, 0.500).

3.
Material: Cr6HIr2N
Method: DFT, PBE
State: relaxed

The density is 11071 kg/m³. The calculation puts the total magnetic moment at 0.00 μB/atom. As for the total energy: -8.920 eV per atom. As for the density of states at the Fermi level: 9.707 states/eV/f.u.

The structure belongs to space group Immm (No. 71); the cell edges are 5.319, 5.325 and 7.535 Å and the angles 90.00°, 90.00° and 90.00°. The asymmetric unit holds Cr at (0.000, 0.000, 0.244), Cr at (0.243, 0.244, 0.000), H at (0.000, 0.000, 0.000), Ir at (0.000, 0.500, 0.250) and N at (0.000, 0.000, 0.500).

4.
Material: Nb2CrHIr
Method: DFT, PBE
State: relaxed

The calculation puts the energy above the most stable polymorph in this dataset at 0.088 eV per atom. The density is 10807 kg/m³. The calculation puts the total magnetic moment at 0.00 μB/atom. As for the total energy: -8.466 eV per atom. As for the density of states at the Fermi level: 3.564 states/eV/f.u.

The structure belongs to space group P4/mmm (No. 123); the cell edges are 4.289, 4.289 and 3.601 Å and the angles 90.00°, 90.00° and 90.00°. The asymmetric unit holds Nb at (0.000, 0.500, 0.000), Cr at (0.000, 0.000, 0.500), H at (0.500, 0.500, 0.000) and Ir at (0.500, 0.500, 0.500).

5.
Material: Nb2CrHIr
Method: DFT, PBE
State: relaxed

The calculation puts the energy above the most stable polymorph in this dataset at 0.000 eV per atom. The density is 10960 kg/m³. The calculation puts the total magnetic moment at 0.13 μB/atom. As for the total energy: -8.553 eV per atom. As for the density of states at the Fermi level: 5.077 states/eV/f.u.

The structure belongs to space group P4/mmm (No. 123); the cell edges are 4.287, 4.287 and 3.554 Å and the angles 90.00°, 90.00° and 90.00°. The asymmetric unit holds Nb at (0.000, 0.500, 0.000), Cr at (0.000, 0.000, 0.500), H at (0.000, 0.000, 0.000) and Ir at (0.500, 0.500, 0.500).

6.
Material: Cr2NiHIr
Method: DFT, PBE
State: relaxed

The calculation puts the energy above the most stable polymorph in this dataset at 0.068 eV per atom. The density is 11564 kg/m³. The calculation puts the total magnetic moment at 0.00 μB/atom. As for the total energy: -7.429 eV per atom. As for the density of states at the Fermi level: 5.214 states/eV/f.u.

The structure belongs to space group P4/mmm (No. 123); the cell edges are 3.661, 3.661 and 3.813 Å and the angles 90.00°, 90.00° and 90.00°. The asymmetric unit holds Cr at (0.000, 0.500, 0.000), Ni at (0.000, 0.000, 0.500), H at (0.500, 0.500, 0.000) and Ir at (0.500, 0.500, 0.500).

7.
Material: Cr2NiHIr
Method: DFT, PBE
State: relaxed

The calculation puts the energy above the most stable polymorph in this dataset at 0.000 eV per atom. The density is 11690 kg/m³. The calculation puts the total magnetic moment at 0.15 μB/atom. As for the total energy: -7.498 eV per atom. As for the density of states at the Fermi level: 4.236 states/eV/f.u.

The structure belongs to space group P4/mmm (No. 123); the cell edges are 3.679, 3.679 and 3.736 Å and the angles 90.00°, 90.00° and 90.00°. The asymmetric unit holds Cr at (0.000, 0.500, 0.000), Ni at (0.000, 0.000, 0.500), H at (0.000, 0.000, 0.000) and Ir at (0.500, 0.500, 0.500).

8.
Material: CrHIr2Pd
Method: DFT, PBE
State: relaxed

The density is 15119 kg/m³. The calculation puts the total magnetic moment at 0.48 μB/atom. As for the total energy: -7.133 eV per atom. As for the density of states at the Fermi level: 5.523 states/eV/f.u.

The structure belongs to space group P4/mmm (No. 123); the cell edges are 3.910, 3.910 and 3.907 Å and the angles 90.00°, 90.00° and 90.00°. The asymmetric unit holds Cr at (0.000, 0.000, 0.000), H at (0.000, 0.000, 0.500), Ir at (0.000, 0.500, 0.500) and Pd at (0.500, 0.500, 0.000).

9.
Material: Cr2HIrPd
Method: DFT, PBE
State: relaxed

The calculation puts the energy above the most stable polymorph in this dataset at 0.006 eV per atom. The density is 12110 kg/m³. The calculation puts the total magnetic moment at 0.29 μB/atom. As for the total energy: -7.273 eV per atom. As for the density of states at the Fermi level: 4.150 states/eV/f.u.

The structure belongs to space group P4/mmm (No. 123); the cell edges are 3.797, 3.797 and 3.839 Å and the angles 90.00°, 90.00° and 90.00°. The asymmetric unit holds Cr at (0.000, 0.500, 0.000), H at (0.000, 0.000, 0.000), Ir at (0.500, 0.500, 0.500) and Pd at (0.000, 0.000, 0.500).

10.
Material: Cr2HIrPd
Method: DFT, PBE
State: relaxed

The calculation puts the energy above the most stable polymorph in this dataset at 0.000 eV per atom. The density is 12046 kg/m³. The calculation puts the total magnetic moment at 0.36 μB/atom. As for the total energy: -7.279 eV per atom. As for the density of states at the Fermi level: 3.941 states/eV/f.u.

The structure belongs to space group P4/mmm (No. 123); the cell edges are 3.809, 3.809 and 3.834 Å and the angles 90.00°, 90.00° and 90.00°. The asymmetric unit holds Cr at (0.000, 0.500, 0.000), H at (0.000, 0.000, 0.000), Ir at (0.000, 0.000, 0.500) and Pd at (0.500, 0.500, 0.500).

11.
Material: CrHIr2Pt
Method: DFT, PBE
State: relaxed

The density is 17542 kg/m³. The calculation puts the total magnetic moment at 0.48 μB/atom. As for the total energy: -7.398 eV per atom. As for the density of states at the Fermi level: 4.175 states/eV/f.u.

The structure belongs to space group P4/mmm (No. 123); the cell edges are 3.910, 3.910 and 3.916 Å and the angles 90.00°, 90.00° and 90.00°. The asymmetric unit holds Cr at (0.000, 0.000, 0.000), H at (0.000, 0.000, 0.500), Ir at (0.000, 0.500, 0.500) and Pt at (0.500, 0.500, 0.000).

12.
Material: RbCrH2Ir
Method: DFT, PBE
State: relaxed

The density is 6556 kg/m³. The calculation puts the total magnetic moment at 0.82 μB/atom. As for the total energy: -4.441 eV per atom. As for the density of states at the Fermi level: 1.943 states/eV/f.u.

The structure belongs to space group P4/mmm (No. 123); the cell edges are 4.227, 4.227 and 4.702 Å and the angles 90.00°, 90.00° and 90.00°. The asymmetric unit holds Rb at (0.000, 0.000, 0.000), Cr at (0.500, 0.500, 0.000), H at (0.000, 0.500, 0.500) and Ir at (0.500, 0.500, 0.500).